Entry 1:
Here is a relaxed structure of Gd2AlNi from the Alexandria database. Energies are from PBE.

The value obtained for the total DFT energy (no corrections) is -9.78 eV/atom. The value obtained for the energy relative to the elements is -0.36 eV/atom. For the total magnetic moment, the calculation gives 14.254 μB/cell.

Structure (extended XYZ):
```
4
Lattice="3.4549 0.0000 0.0000 0.0000 3.4549 0.0000 0.0000 0.0000 7.3743" Properties=species:S:1:pos:R:3 pbc="T T T"
Gd 0.0000 0.0000 1.6686
Gd 0.0000 0.0000 5.7057
Al 1.7275 1.7275 3.6872
Ni 1.7275 1.7275 0.0000
```

Entry 2:
Here is a relaxed structure of Ag2SbP2 from the Alexandria database. Energies are from PBE.

The value obtained for the total DFT energy (no corrections) is -3.84 eV/atom. As for the raw formation energy: 28 kJ per mole of atoms. For the total magnetic moment, the calculation gives 0.000 μB/cell. The energy relative to the lowest polymorph listed for this composition is 0 meV/atom.

Structure (extended XYZ):
```
5
Lattice="-1.6995 1.6995 8.5350 1.6995 -1.6995 8.5350 1.6995 1.6995 -8.5350" Properties=species:S:1:pos:R:3 pbc="T T T"
Ag 0.0000 0.0000 1.8558
Ag 0.0000 0.0000 15.2141
Sb 0.0000 0.0000 8.5350
P 1.6995 0.0000 4.2675
P 0.0000 1.6995 4.2675
```

Entry 3:
Here is a relaxed structure of RbHg2GeBi from the Alexandria database. Energies are from PBE.

The value obtained for the total DFT energy (no corrections) is -2.01 eV/atom. The value obtained for the energy relative to the elements is 0.01 eV/atom. For the total magnetic moment, the calculation gives 0.000 μB/cell.

Structure (extended XYZ):
```
5
Lattice="5.6320 0.0000 0.0000 0.0000 5.6320 0.0000 0.0000 0.0000 5.7661" Properties=species:S:1:pos:R:3 pbc="T T T"
Rb 0.0000 0.0000 0.0000
Hg 0.0000 2.8160 2.8831
Hg 2.8160 0.0000 2.8831
Ge 2.8160 2.8160 2.8831
Bi 2.8160 2.8160 0.0000
```

Entry 4:
Here is a relaxed structure of YSb2OsPd from the Alexandria database. Energies are from PBE.

The value obtained for the total DFT energy (no corrections) is -4.69 eV/atom. As for the raw formation energy: 148 kJ per mole of atoms. For the total magnetic moment, the calculation gives 1.767 μB/cell.

Structure (extended XYZ):
```
5
Lattice="5.6439 0.0000 0.0000 0.0000 5.6439 0.0000 0.0000 0.0000 5.0277" Properties=species:S:1:pos:R:3 pbc="T T T"
Y 0.0000 0.0000 0.0000
Sb 0.0000 2.8219 0.0000
Sb 2.8219 0.0000 0.0000
Os 0.0000 0.0000 2.5138
Pd 2.8219 2.8219 2.5138
```

Entry 5:
Here is a relaxed structure of Cu3Br from the Alexandria database. Energies are from PBE.

The value obtained for the total DFT energy (no corrections) is -2.96 eV/atom. As for the raw formation energy: 51 kJ per mole of atoms. For the total magnetic moment, the calculation gives 0.000 μB/cell. The energy relative to the lowest polymorph listed for this composition is 430 meV/atom.

Structure (extended XYZ):
```
4
Lattice="4.1839 2.4156 1.0298 -4.1839 2.4156 1.0298 0.0000 -4.8311 1.0298" Properties=species:S:1:pos:R:3 pbc="T T T"
Cu -2.0919 -1.2078 1.0298
Cu -2.0919 1.2078 2.0596
Cu 0.0000 2.4156 1.0298
Br 0.0000 0.0000 0.0000
```

Entry 6:
Here is a relaxed structure of K12RbNa7 from the Alexandria database. Energies are from PBE.

The value obtained for the total DFT energy (no corrections) is -1.14 eV/atom. The value obtained for the energy relative to the elements is 0.03 eV/atom. For the total magnetic moment, the calculation gives 0.000 μB/cell.

Structure (extended XYZ):
```
20
Lattice="9.1458 5.2803 4.1510 -9.1458 5.2803 4.1510 0.0000 -10.5607 4.1510" Properties=species:S:1:pos:R:3 pbc="T T T"
K -3.0661 -0.6246 3.0475
K -1.6136 -4.1013 5.1973
K 2.0739 -2.3430 3.0475
K -4.3586 -0.6533 7.2557
K -2.7451 3.4480 5.1973
K 0.9921 2.9676 3.0475
K -0.9921 -2.9676 9.4056
K 2.7451 -3.4480 7.2557
K 4.3586 0.6533 5.1973
K -2.0739 2.3430 9.4056
K 1.6135 4.1013 7.2557
K 3.0661 0.6246 9.4056
Rb 0.0000 0.0000 0.0000
Na -6.1087 2.4669 3.2243
Na 0.9180 -6.5237 3.2243
Na -5.1907 -4.0569 9.2288
Na 0.0000 0.0000 6.2265
Na 5.1907 4.0569 3.2243
Na -0.9180 6.5237 9.2288
Na 6.1087 -2.4669 9.2288
```